Run P
Computed, not measured: an optimized crystal structure of KCdHg4 at the GGA-PBE level of DFT.

abc: 4.009 4.009 10.781
angles: 90.00 90.00 90.00
Space group P4/mmm (No. 123)
Asymmetric unit:
K1 0.000 0.000 0.000 [1 per cell]
Cd1 0.500 0.500 0.500 [1 per cell]
Hg1 0.000 0.000 0.351 [2 per cell]
Hg2 0.500 0.500 0.203 [2 per cell]

Run Q
Computed, not measured: an optimized crystal structure of KCdHg4 at the GGA-PBE level of DFT.

abc: 8.981 8.981 8.981
angles: 90.00 90.00 90.00
Space group F-43m (No. 216)
Asymmetric unit:
K1 0.000 0.000 0.000 [4 per cell]
Cd1 0.250 0.250 0.250 [4 per cell]
Hg1 0.125 0.125 0.625 [16 per cell]

Stability, lowest: run Q

Run P
Computed, not measured: an optimized crystal structure of K5CdHg4 at the GGA-PBE level of DFT.

abc: 21.216 4.922 8.930
angles: 90.00 111.18 90.00
Space group C2/m (No. 12)
Asymmetric unit:
K1 0.000 0.000 0.000 [2 per cell]
K2 0.144 0.500 0.520 [4 per cell]
K3 0.191 0.500 0.101 [4 per cell]
Cd1 0.000 0.000 0.500 [2 per cell]
Hg1 0.032 0.500 0.732 [4 per cell]
Hg2 0.130 0.000 0.807 [4 per cell]

Run Q
Computed, not measured: an optimized crystal structure of K5CdHg4 at the GGA-PBE level of DFT.

abc: 4.279 4.279 20.945
angles: 90.00 90.00 90.00
Space group P4/mmm (No. 123)
Asymmetric unit:
K1 0.000 0.000 0.000 [1 per cell]
K2 0.000 0.000 0.199 [2 per cell]
K3 0.000 0.000 0.397 [2 per cell]
Cd1 0.500 0.500 0.500 [1 per cell]
Hg1 0.500 0.500 0.099 [2 per cell]
Hg2 0.500 0.500 0.299 [2 per cell]

Stability, lowest: run Q

Run P
Computed, not measured: an optimized crystal structure of KLiCd2Hg at the GGA-PBE level of DFT.

abc: 5.272 5.272 5.244
angles: 90.00 90.00 90.00
Space group P4/mmm (No. 123)
Asymmetric unit:
K1 0.000 0.000 0.000 [1 per cell]
Li1 0.500 0.500 0.500 [1 per cell]
Cd1 0.000 0.500 0.500 [2 per cell]
Hg1 0.500 0.500 0.000 [1 per cell]

Run Q
Computed, not measured: an optimized crystal structure of KLiCd2Hg at the GGA-PBE level of DFT.

abc: 5.499 5.499 5.338
angles: 90.00 90.00 90.00
Space group P4/mmm (No. 123)
Asymmetric unit:
K1 0.000 0.000 0.000 [1 per cell]
Li1 0.500 0.500 0.000 [1 per cell]
Cd1 0.000 0.500 0.500 [2 per cell]
Hg1 0.500 0.500 0.500 [1 per cell]

Stability, lowest: run Q